1.
FeH2Pd2 | PBE | optimized geometry

a b c (Å): 5.127 2.968 6.781
angles (deg): 90.00 90.07 90.00
Space group C2/m (No. 12)
Inequivalent atoms, fractional coordinates:
Fe 0.000 0.000 0.000 [2 per cell]
H 0.167 0.500 0.610 [4 per cell]
Pd 0.166 0.500 0.304 [4 per cell]

Computed properties:
E above lowest polymorph: 7 meV per atom
crystal system: monoclinic

2.
Cr2Au | PBE | optimized geometry

a b c (Å): 4.2319 4.2319 2.6623
angles (deg): 90.00 90.00 120.00
Space group P6/mmm (No. 191)
Inequivalent atoms, fractional coordinates:
Cr 0.3333 0.6667 0.0000 [2 per cell]
Au 0.0000 0.0000 0.5000 [1 per cell]

Computed properties:
formation enthalpy at 0 K: 0.44 eV/atom
crystal system: hexagonal

3.
ZrTaCdI2 | PBE | optimized geometry

a b c (Å): 5.772 5.772 5.278
angles (deg): 90.00 90.00 90.00
Space group P4/mmm (No. 123)
Inequivalent atoms, fractional coordinates:
Zr 0.000 0.000 0.000 [1 per cell]
Ta 0.000 0.000 0.500 [1 per cell]
Cd 0.500 0.500 0.500 [1 per cell]
I 0.000 0.500 0.000 [2 per cell]

Computed properties:
crystal system: tetragonal
uncorrected formation energy: 0.826 eV per atom